Record 1
PBE CdCuW2, optimized geometry; total DFT energy (no corrections) = -7.3330 eV per atom; energy of formation = 0.40 eV/atom; total magnetic moment = 0.0 μB per cell; theoretical density = 14.0 g/cm³; Fermi-level density of states = 0.38 states/eV/atom
1.0
-2.392 1.271 -0.251
-0.721 -1.743 -1.960
-3.446 -5.303 5.983
Cd W Cu
1 2 1
Direct
0.000 0.000 0.517
0.500 0.500 0.243
0.000 0.000 0.980
0.500 0.500 0.760



Record 2
PBE Cd2CuW, optimized geometry; total DFT energy (no corrections) = -4.3253 eV per atom; energy of formation = 0.39 eV/atom; total magnetic moment = 0.0 μB per cell; theoretical density = 11.5 g/cm³; Fermi-level density of states = 0.36 states/eV/atom; polymorph energy (0 for the lowest one) = 0.22 eV/f.u.
1.0
2.798 0.000 0.000
0.000 2.798 0.000
0.000 0.000 8.726
Cd W Cu
2 1 1
Direct
0.000 0.000 0.486
0.000 0.000 0.014
0.500 0.500 0.750
0.500 0.500 0.250



Record 3
PBE CdCuW2, optimized geometry; total DFT energy (no corrections) = -6.7874 eV per atom; energy of formation = 0.94 eV/atom; total magnetic moment = 0.0 μB per cell; theoretical density = 12.9 g/cm³; Fermi-level density of states = 0.87 states/eV/atom
1.0
3.730 0.000 0.000
0.000 3.730 0.000
1.865 1.865 10.072
Cd Cu W
2 2 4
Direct
0.750 0.250 0.500
0.000 0.000 0.000
0.500 0.500 0.000
0.250 0.750 0.500
0.375 0.380 0.750
0.620 0.125 0.250
0.875 0.870 0.750
0.130 0.625 0.250



Record 4
PBE CdCuW2, optimized geometry; total DFT energy (no corrections) = -7.1315 eV per atom; energy of formation = 0.60 eV/atom; total magnetic moment = 0.0 μB per cell; theoretical density = 13.9 g/cm³; Fermi-level density of states = 1.05 states/eV/atom
1.0
9.650 -0.020 -0.011
9.248 2.758 -0.011
9.248 1.340 2.410
Cd W Cu
1 2 1
Direct
0.250 0.250 0.250
0.006 0.006 0.006
0.494 0.494 0.494
0.750 0.750 0.750



What did the second record say?
PBE Cd2CuW, optimized geometry; total DFT energy (no corrections) = -4.3253 eV per atom; energy of formation = 0.39 eV/atom; total magnetic moment = 0.0 μB per cell; theoretical density = 11.5 g/cm³; Fermi-level density of states = 0.36 states/eV/atom; polymorph energy (0 for the lowest one) = 0.22 eV/f.u.
1.0
2.798 0.000 0.000
0.000 2.798 0.000
0.000 0.000 8.726
Cd W Cu
2 1 1
Direct
0.000 0.000 0.486
0.000 0.000 0.014
0.500 0.500 0.750
0.500 0.500 0.250



Q: Which value of total DFT energy (no corrections) does entry 4 give?
A: -7.1315 eV per atom



Q: Which formula does entry 2 have?
A: Cd2CuW